# Sc4AgRhAu2 | Alexandria | PBE | optimized geometry
data_Sc4AgRhAu2
_chemical_formula_sum 'Sc12 Ag3 Rh3 Au6'
_cell_length_a 4.7643
_cell_length_b 4.7643
_cell_length_c 23.3588
_cell_angle_alpha 90.00
_cell_angle_beta 90.00
_cell_angle_gamma 120.00
_space_group_name_H-M_alt 'R -3 m'
_space_group_IT_number 166
_space_group_name_Hall '-R 3 2"'
loop_
_atom_site_label
_atom_site_fract_x
_atom_site_fract_y
_atom_site_fract_z
Sc1 0.0000 0.0000 0.1192
Sc2 0.0000 0.0000 0.3701
Ag1 0.0000 0.0000 0.5000
Rh1 0.0000 0.0000 0.0000
Au1 0.0000 0.0000 0.2455
# energy: -5.9742 eV per atom
# energy of formation: -0.714 eV/atom